The following is a DFT calculation (PBE+U) of crystalline ZnFeO2 at its relaxed geometry.

Cell and atoms, written as CIF:
```
data_ZnFeO2
_chemical_formula_sum 'Zn2 Fe2 O4'
_cell_length_a 3.333
_cell_length_b 5.264
_cell_length_c 5.836
_cell_angle_alpha 90.00
_cell_angle_beta 90.27
_cell_angle_gamma 90.00
_symmetry_space_group_name_H-M 'P 1 21 1'
_symmetry_Int_Tables_number 4
loop_
_symmetry_equiv_pos_as_xyz
'x,y,z'
'-x,y+1/2,-z'
loop_
_atom_site_label
_atom_site_type_symbol
_atom_site_fract_x
_atom_site_fract_y
_atom_site_fract_z
Zn1 Zn 0.249 0.000 0.085
Fe1 Fe 0.250 0.499 0.410
O1 O 0.247 0.894 0.414
O2 O 0.252 0.383 0.075
```

For the total magnetization, the calculation gives 1.000 μB per atom. The relative energy among the computed polymorphs comes out at 0 kJ/mol of formula units. The value obtained for the total energy is -44.65 eV per cell.